[1]
CeTm2ScSb4 | PBE-GGA | optimized geometry

Summary:
Crystal system = orthorhombic

a b c (Å): 6.1515 6.1515 7.5036
angles (deg): 114.20 114.20 90.00
Closest atoms and distances in Å follow each position.
Positions (direct):
Ce (0.9374, 0.9374, 0.0000)  6 Sb 3.07-3.14
Tm (0.1871, 0.6871, 0.5000)  6 Sb 3.06-3.08
Tm (0.6871, 0.1871, 0.5000)  6 Sb 3.06-3.08
Sc (0.4367, 0.4367, 0.0000)  6 Sb 2.97-3.08
Sb (0.9372, 0.4373, 0.0000)  2 Tm 3.06, 2 Sc 3.07-3.08, 2 Ce 3.07-3.08
Sb (0.4373, 0.9372, 0.0000)  2 Tm 3.06, 2 Sc 3.07-3.08, 2 Ce 3.07-3.08
Sb (0.1940, 0.1940, 0.5136)  1 Sc 2.97, 4 Tm 3.08, 1 Ce 3.14
Sb (0.6805, 0.6805, 0.4864)  1 Sc 2.97, 4 Tm 3.08, 1 Ce 3.14

---

[2]
CeTmSc2Sb4 | PBE-GGA | optimized geometry

Summary:
Crystal system = monoclinic

a b c (Å): 4.2970 7.4359 7.4140
angles (deg): 109.47 90.00 90.00
Closest atoms and distances in Å follow each position.
Positions (direct):
Ce (0.5000, 0.5000, 0.0000)  6 Sb 3.11-3.12
Tm (0.0000, 0.0000, 0.0000)  6 Sb 3.08
Sc (0.5000, 0.0000, 0.5000)  6 Sb 2.95
Sc (0.0000, 0.5000, 0.5000)  6 Sb 2.99
Sb (0.5000, 0.2508, 0.2641)  3 Sc 2.95-2.99, 2 Tm 3.08, 1 Ce 3.11
Sb (0.5000, 0.7492, 0.7359)  3 Sc 2.95-2.99, 2 Tm 3.08, 1 Ce 3.11
Sb (0.0000, 0.2396, 0.7321)  3 Sc 2.95-2.99, 1 Tm 3.08, 2 Ce 3.12
Sb (0.0000, 0.7604, 0.2679)  3 Sc 2.95-2.99, 1 Tm 3.08, 2 Ce 3.12

---

[3]
Ce2TmScSb4 | PBE-GGA | optimized geometry

Summary:
Crystal system = monoclinic

a b c (Å): 4.3844 7.5967 7.5501
angles (deg): 109.59 90.00 90.00
Closest atoms and distances in Å follow each position.
Positions (direct):
Ce (0.5000, 0.0000, 0.5000)  6 Sb 3.13
Ce (0.0000, 0.5000, 0.5000)  6 Sb 3.18
Tm (0.5000, 0.5000, 0.0000)  6 Sb 3.06
Sc (0.0000, 0.0000, 0.0000)  6 Sb 3.01
Sb (0.5000, 0.2391, 0.2328)  2 Sc 3.01, 1 Tm 3.06, 3 Ce 3.13-3.18
Sb (0.5000, 0.7609, 0.7672)  2 Sc 3.01, 1 Tm 3.06, 3 Ce 3.13-3.18
Sb (0.0000, 0.2493, 0.7635)  1 Sc 3.01, 2 Tm 3.06, 3 Ce 3.13-3.18
Sb (0.0000, 0.7507, 0.2365)  1 Sc 3.01, 2 Tm 3.06, 3 Ce 3.13-3.18

---

[4]
Ce5SbSe4 | PBE-GGA | optimized geometry

Summary:
Crystal system = tetragonal

a b c (Å): 6.0478 7.3876 7.3876
angles (deg): 80.35 65.84 65.84
Closest atoms and distances in Å follow each position.
Positions (direct):
Ce (0.8992, 0.4116, 0.7922)  5 Se 2.96-3.03, 1 Sb 3.11
Ce (0.3107, 0.7922, 0.5884)  5 Se 2.96-3.03, 1 Sb 3.11
Ce (0.6914, 0.2078, 0.4116)  5 Se 2.96-3.03, 1 Sb 3.11
Ce (0.1029, 0.5884, 0.2078)  5 Se 2.96-3.03, 1 Sb 3.11
Ce (0.5009, 0.0000, 0.0000)  4 Se 3.01, 2 Sb 3.02
Sb (0.0009, 0.0000, 0.0000)  6 Ce 3.02-3.11
Se (0.3968, 0.4026, 0.8059)  6 Ce 2.96-3.03
Se (0.7994, 0.8059, 0.5974)  6 Ce 2.96-3.03
Se (0.2027, 0.1941, 0.4026)  6 Ce 2.96-3.03
Se (0.6053, 0.5974, 0.1941)  6 Ce 2.96-3.03

---

[5]
CeSbSe4 | PBE-GGA | optimized geometry

Summary:
Crystal system = monoclinic

a b c (Å): 7.1570 6.9947 6.8181
angles (deg): 90.00 96.93 90.00
Closest atoms and distances in Å follow each position.
Positions (direct):
Ce (0.0000, 0.0000, 0.0000)  4 Se 2.81-2.89
Ce (0.5000, 0.5000, 0.0000)  4 Se 2.81-2.89
Sb (0.5000, 0.0000, 0.5000)  6 Se 2.70-2.89
Sb (0.0000, 0.5000, 0.5000)  6 Se 2.70-2.89
Se (0.8427, 0.6832, 0.1720)  1 Sb 2.70, 2 Ce 2.81-2.89
Se (0.6573, 0.1832, 0.8280)  1 Sb 2.70, 2 Ce 2.81-2.89
Se (0.2566, 0.2817, 0.2915)  2 Sb 2.89, 1 Se 3.16, 2 Ce 3.19-3.21
Se (0.2434, 0.7817, 0.7085)  2 Sb 2.89, 1 Se 3.16, 2 Ce 3.19-3.21
Se (0.1573, 0.3168, 0.8280)  1 Sb 2.70, 2 Ce 2.81-2.89
Se (0.3427, 0.8168, 0.1720)  1 Sb 2.70, 2 Ce 2.81-2.89
Se (0.7434, 0.7183, 0.7085)  2 Sb 2.89, 1 Se 3.16, 2 Ce 3.19-3.21
Se (0.7566, 0.2183, 0.2915)  2 Sb 2.89, 1 Se 3.16, 2 Ce 3.19-3.21

---

[6]
Ce4SbSe3 | PBE-GGA | optimized geometry

Summary:
Crystal system = orthorhombic

a b c (Å): 4.2756 6.0717 8.5882
angles (deg): 90.00 90.00 90.00
Closest atoms and distances in Å follow each position.
Positions (direct):
Sb (0.0000, 0.0000, 0.0000)  6 Ce 3.04-3.11
Se (0.5000, 0.5000, 0.2513)  6 Ce 3.02-3.04
Se (0.0000, 0.0000, 0.5000)  6 Ce 2.95-3.04
Se (0.5000, 0.5000, 0.7487)  6 Ce 3.02-3.04
Ce (0.0000, 0.5000, 0.5000)  6 Se 3.02-3.04
Ce (0.5000, 0.0000, 0.7370)  4 Se 2.95-3.04, 2 Sb 3.11
Ce (0.0000, 0.5000, 0.0000)  2 Sb 3.04, 4 Se 3.04
Ce (0.5000, 0.0000, 0.2630)  4 Se 2.95-3.04, 2 Sb 3.11

---

[7]
Ce5Sb4Se | PBE-GGA | optimized geometry

Summary:
Crystal system = tetragonal
Energy above the lowest structure with this stoichiometry = 0.000 eV per atom

a b c (Å): 6.3042 7.7030 7.7030
angles (deg): 80.36 65.85 65.85
Closest atoms and distances in Å follow each position.
Positions (direct):
Ce (0.9023, 0.3903, 0.8071)  1 Se 3.06, 5 Sb 3.15-3.19
Ce (0.2926, 0.8071, 0.6097)  1 Se 3.06, 5 Sb 3.15-3.19
Ce (0.7094, 0.1929, 0.3903)  1 Se 3.06, 5 Sb 3.15-3.19
Ce (0.0998, 0.6097, 0.1929)  1 Se 3.06, 5 Sb 3.15-3.19
Ce (0.5011, 0.0000, 0.0000)  4 Sb 3.15, 2 Se 3.15
Sb (0.4042, 0.3984, 0.7952)  6 Ce 3.15-3.19
Sb (0.8026, 0.7952, 0.6016)  6 Ce 3.15-3.19
Sb (0.1994, 0.2048, 0.3984)  6 Ce 3.15-3.19
Sb (0.5978, 0.6016, 0.2048)  6 Ce 3.15-3.19
Se (0.0011, 0.0000, 0.0000)  6 Ce 3.06-3.15

---

[8]
Ce5Sb4Se | PBE-GGA | optimized geometry

Summary:
Crystal system = tetragonal
Energy above the lowest structure with this stoichiometry = 0.008 eV per atom

a b c (Å): 4.4533 4.4533 16.0231
angles (deg): 97.99 97.99 90.00
Closest atoms and distances in Å follow each position.
Positions (direct):
Ce (0.0964, 0.0964, 0.1928)  1 Se 3.03, 5 Sb 3.15-3.21
Ce (0.5000, 0.5000, 0.0000)  2 Sb 3.13, 4 Se 3.15
Ce (0.9036, 0.9036, 0.8072)  1 Se 3.03, 5 Sb 3.15-3.21
Ce (0.2999, 0.2999, 0.5997)  6 Sb 3.15-3.19
Ce (0.7001, 0.7001, 0.4003)  6 Sb 3.15-3.19
Sb (0.4005, 0.4005, 0.8010)  6 Ce 3.13-3.16
Sb (0.8016, 0.8016, 0.6031)  6 Ce 3.15-3.21
Sb (0.1984, 0.1984, 0.3969)  6 Ce 3.15-3.21
Sb (0.5995, 0.5995, 0.1990)  6 Ce 3.13-3.16
Se (0.0000, 0.0000, 0.0000)  6 Ce 3.03-3.15

---

[9]
Ce3Sb5Se12 | PBE-GGA | optimized geometry

Summary:
Crystal system = cubic

a b c (Å): 14.8064 14.8064 14.8064
angles (deg): 109.47 109.47 109.47
Closest atoms and distances in Å follow each position.
Positions (direct):
Ce (0.7500, 0.3750, 0.1250)  8 Se 3.14-3.18
Ce (0.8750, 0.7500, 0.1250)  8 Se 3.14-3.18
Ce (0.3750, 0.7500, 0.6250)  8 Se 3.14-3.18
Ce (0.2500, 0.1250, 0.3750)  8 Se 3.14-3.18
Ce (0.8750, 0.1250, 0.2500)  8 Se 3.14-3.18
Ce (0.3750, 0.6250, 0.2500)  8 Se 3.14-3.18
Ce (0.6250, 0.3750, 0.7500)  8 Se 3.14-3.18
Ce (0.1250, 0.8750, 0.7500)  8 Se 3.14-3.18
Ce (0.7500, 0.8750, 0.6250)  8 Se 3.14-3.18
Ce (0.6250, 0.2500, 0.3750)  8 Se 3.14-3.18
Ce (0.1250, 0.2500, 0.8750)  8 Se 3.14-3.18
Ce (0.2500, 0.6250, 0.8750)  8 Se 3.14-3.18
Sb (0.1250, 0.3750, 0.2500)  4 Se 2.74
Sb (0.0000, 0.5000, 0.0000)  6 Se 2.87
Sb (0.0000, 0.0000, 0.0000)  6 Se 2.87
Sb (0.3750, 0.2500, 0.1250)  4 Se 2.74
Sb (0.5000, 0.0000, 0.5000)  6 Se 2.87
Sb (0.5000, 0.5000, 0.0000)  6 Se 2.87
Sb (0.1250, 0.7500, 0.3750)  4 Se 2.74
Sb (0.7500, 0.1250, 0.8750)  4 Se 2.74
Sb (0.7500, 0.6250, 0.3750)  4 Se 2.74
Sb (0.3750, 0.1250, 0.7500)  4 Se 2.74
Sb (0.6250, 0.8750, 0.2500)  4 Se 2.74
Sb (0.5000, 0.5000, 0.5000)  6 Se 2.87
Sb (0.5000, 0.0000, 0.0000)  6 Se 2.87
Sb (0.0000, 0.0000, 0.5000)  6 Se 2.87
Sb (0.2500, 0.3750, 0.6250)  4 Se 2.74
Sb (0.2500, 0.8750, 0.1250)  4 Se 2.74
Sb (0.0000, 0.5000, 0.5000)  6 Se 2.87
Sb (0.8750, 0.2500, 0.6250)  4 Se 2.74
Sb (0.6250, 0.7500, 0.8750)  4 Se 2.74
Sb (0.8750, 0.6250, 0.7500)  4 Se 2.74
Se (0.7197, 0.1368, 0.0504)  2 Sb 2.74-2.87
Se (0.3307, 0.5504, 0.4137)  2 Sb 2.74-2.87
Se (0.9496, 0.3632, 0.2803)  2 Sb 2.74-2.87
Se (0.5504, 0.2197, 0.1368)  2 Sb 2.74-2.87
Se (0.5830, 0.7197, 0.6693)  2 Sb 2.74-2.87
Se (0.9496, 0.5863, 0.1693)  2 Sb 2.74-2.87
Se (0.3307, 0.7803, 0.4170)  2 Sb 2.74-2.87
Se (0.0863, 0.9170, 0.1368)  2 Sb 2.74-2.87
Se (0.5863, 0.9496, 0.6693)  2 Sb 2.74-2.87
Se (0.7197, 0.5830, 0.1693)  2 Sb 2.74-2.87
Se (0.7803, 0.4496, 0.3632)  2 Sb 2.74-2.87
Se (0.8307, 0.9137, 0.0504)  2 Sb 2.74-2.87
Se (0.1368, 0.7197, 0.5504)  2 Sb 2.74-2.87
Se (0.3632, 0.4137, 0.0830)  2 Sb 2.74-2.87
Se (0.0830, 0.9137, 0.3632)  2 Sb 2.74-2.87
Se (0.4170, 0.1368, 0.5863)  2 Sb 2.74-2.87
Se (0.0830, 0.1693, 0.2197)  2 Sb 2.74-2.87
Se (0.4496, 0.6693, 0.0863)  2 Sb 2.74-2.87
Se (0.8307, 0.9170, 0.2803)  2 Sb 2.74-2.87
Se (0.1368, 0.4170, 0.0863)  2 Sb 2.74-2.87
Se (0.3632, 0.9496, 0.7803)  2 Sb 2.74-2.87
Se (0.5863, 0.6368, 0.4170)  2 Sb 2.74-2.87
Se (0.9137, 0.8307, 0.5504)  2 Sb 2.74-2.87
Se (0.7803, 0.3307, 0.9170)  2 Sb 2.74-2.87
Se (0.4137, 0.3632, 0.5830)  2 Sb 2.74-2.87
Se (0.0863, 0.1693, 0.4496)  2 Sb 2.74-2.87
Se (0.2197, 0.6693, 0.0830)  2 Sb 2.74-2.87
Se (0.1693, 0.0830, 0.7197)  2 Sb 2.74-2.87
Se (0.6368, 0.0504, 0.2197)  2 Sb 2.74-2.87
Se (0.8632, 0.5830, 0.9137)  2 Sb 2.74-2.87
Se (0.5504, 0.3307, 0.9137)  2 Sb 2.74-2.87
Se (0.5830, 0.8632, 0.4137)  2 Sb 2.74-2.87
Se (0.9170, 0.8307, 0.7803)  2 Sb 2.74-2.87
Se (0.9170, 0.0863, 0.6368)  2 Sb 2.74-2.87
Se (0.8632, 0.2803, 0.4496)  2 Sb 2.74-2.87
Se (0.1693, 0.0863, 0.9496)  2 Sb 2.74-2.87
Se (0.6368, 0.5863, 0.9170)  2 Sb 2.74-2.87
Se (0.4137, 0.0504, 0.3307)  2 Sb 2.74-2.87
Se (0.2803, 0.4170, 0.8307)  2 Sb 2.74-2.87
Se (0.2197, 0.5504, 0.6368)  2 Sb 2.74-2.87
Se (0.9137, 0.0830, 0.8632)  2 Sb 2.74-2.87
Se (0.6693, 0.2197, 0.5830)  2 Sb 2.74-2.87
Se (0.4496, 0.7803, 0.8632)  2 Sb 2.74-2.87
Se (0.0504, 0.4137, 0.8307)  2 Sb 2.74-2.87
Se (0.4170, 0.2803, 0.3307)  2 Sb 2.74-2.87
Se (0.0504, 0.6368, 0.7197)  2 Sb 2.74-2.87
Se (0.6693, 0.4496, 0.5863)  2 Sb 2.74-2.87
Se (0.2803, 0.8632, 0.9496)  2 Sb 2.74-2.87

---

Formation energy (no corrections) for the records above, in order: -1.0083, -0.9876, -1.0140, -1.6474, -0.7647, -1.6043, -1.1898, -1.1814, -0.7071 eV per atom
Size of the total moment for the records above, in order: 0.76, 0.68, 1.54, 4.78, 0.00, 4.09, 4.68, 4.64, 12.28 μB/cell
Electronic total energy for the records above, in order: -5.72, -5.93, -5.91, -6.42, -4.76, -6.39, -6.15, -6.15, -4.72 eV/atom